Entry from the Alexandria database: a PBEsol-optimized structure of MnCrSnN2 (SCAN).

The structure in POSCAR format:
```
MnCrSnN2
1.0
3.641 0.000 0.000
0.000 3.641 0.000
0.000 0.000 4.927
Mn Cr Sn N
1 1 1 2
Direct
0.000 0.000 0.000
0.000 0.000 0.500
0.500 0.500 0.500
0.000 0.500 0.000
0.500 0.000 0.000
```

Output
* symmetry: No. 123
* crystal system: tetragonal
* formation energy without anion corrections: 0.700 eV per atom

Entry from the Alexandria database: a PBEsol-optimized structure of BaSrCaMoO6 (SCAN).

The structure in POSCAR format:
```
BaSrCaMoO6
1.0
0.000 4.145 4.145
4.145 0.000 4.145
4.145 4.145 0.000
Ba Sr Ca Mo O
1 1 1 1 6
Direct
0.000 0.000 0.000
0.500 0.500 0.500
0.750 0.750 0.750
0.250 0.250 0.250
0.020 0.020 0.480
0.020 0.480 0.020
0.020 0.480 0.480
0.480 0.020 0.020
0.480 0.020 0.480
0.480 0.480 0.020
```

Output
* symmetry: No. 216
* crystal system: cubic
* formation energy without anion corrections: -2.904 eV per atom

Entry from the Alexandria database: a PBEsol-optimized structure of LiHg5 (SCAN).

The structure in POSCAR format:
```
LiHg5
1.0
5.003 0.000 0.000
0.000 1.703 7.737
0.000 -1.703 7.737
Li Hg
1 5
Direct
0.000 0.000 0.000
0.000 0.341 0.341
0.000 0.658 0.658
0.500 0.109 0.109
0.500 0.449 0.449
0.500 0.778 0.778
```

Output
* offset from the most stable computed form: 15 meV per atom
* symmetry: No. 38
* crystal system: orthorhombic

no.,DFT total energy (Ry per atom)
1,-1.2883
2,-1.2701
3,-4.2141